# 1
This record from Alexandria describes a relaxed SrFeH2Br crystal. The functional is GGA-PBE.

Results
total magnetization: 2.8 μB per cell
DFT total energy: -3.659 eV per atom
DOS(E_F): 5.85 states/eV/cell
mass density: 3.8 g cm⁻³

CIF file:
```
data_SrFeH2Br
_chemical_formula_sum 'Sr1 Fe1 H2 Br1'
_cell_length_a 4.084
_cell_length_b 4.084
_cell_length_c 5.945
_cell_angle_alpha 90.00
_cell_angle_beta 90.00
_cell_angle_gamma 90.00
_space_group_name_H-M_alt 'P 4/m m m'
_space_group_IT_number 123
_space_group_name_Hall '-P 4 2'
loop_
_atom_site_label
_atom_site_type_symbol
_atom_site_fract_x
_atom_site_fract_y
_atom_site_fract_z
Sr1 Sr 0.000 0.000 0.000
Fe1 Fe 0.000 0.000 0.500
H1 H 0.000 0.500 0.500
Br1 Br 0.500 0.500 0.000
```


# 2
This record from Alexandria describes a relaxed TaNi3Br crystal. The functional is GGA-PBE.

Results
energy above the lowest structure with this stoichiometry: 0 meV per atom
total magnetization: 1.0 μB per cell
DFT total energy: -5.012 eV per atom
DOS(E_F): 7.77 states/eV/cell
mass density: 9.0 g cm⁻³

CIF file:
```
data_TaNi3Br
_chemical_formula_sum 'Ta1 Ni3 Br1'
_cell_length_a 4.315
_cell_length_b 4.315
_cell_length_c 4.315
_cell_angle_alpha 90.00
_cell_angle_beta 90.00
_cell_angle_gamma 90.00
_space_group_name_H-M_alt 'P m -3 m'
_space_group_IT_number 221
_space_group_name_Hall '-P 4 2 3'
loop_
_atom_site_label
_atom_site_type_symbol
_atom_site_fract_x
_atom_site_fract_y
_atom_site_fract_z
Ta1 Ta 0.000 0.000 0.000
Ni1 Ni 0.000 0.500 0.500
Br1 Br 0.500 0.500 0.500
```


# 3
This record from Alexandria describes a relaxed NbZn3Ru crystal. The functional is GGA-PBE.

Results
energy above the lowest structure with this stoichiometry: 0 meV per atom
total magnetization: 0.0 μB per cell
DFT total energy: -3.711 eV per atom
DOS(E_F): 3.17 states/eV/cell
mass density: 6.6 g cm⁻³

CIF file:
```
data_NbZn3Ru
_chemical_formula_sum 'Nb1 Zn3 Ru1'
_cell_length_a 4.602
_cell_length_b 4.602
_cell_length_c 4.602
_cell_angle_alpha 90.00
_cell_angle_beta 90.00
_cell_angle_gamma 90.00
_space_group_name_H-M_alt 'P m -3 m'
_space_group_IT_number 221
_space_group_name_Hall '-P 4 2 3'
loop_
_atom_site_label
_atom_site_type_symbol
_atom_site_fract_x
_atom_site_fract_y
_atom_site_fract_z
Nb1 Nb 0.000 0.000 0.000
Zn1 Zn 0.000 0.500 0.500
Ru1 Ru 0.500 0.500 0.500
```


Look up the DFT total energy of the second one.
-5.012 eV per atom